No. 1
Below is an optimized crystal structure of LaCl2, with properties calculated at the PBEsol level.

Properties
ΔE_f (raw) in kcal/mol of atoms: -47.5

abc: 14.1781 3.6320 6.4438
angles: 90.00 110.69 90.00
Space group C2/m (No. 12)
Unique sites:
La 0.1314 0.0000 0.0555 [4 per cell]
Cl 0.0183 0.5000 0.2516 [4 per cell]
Cl 0.2107 0.0000 0.7042 [4 per cell]

***

No. 2
Below is an optimized crystal structure of RbHg3Au, with properties calculated at the PBEsol level.

Properties
DFT formation energy in meV per atom: -135

abc: 5.3681 5.3681 5.3681
angles: 90.00 90.00 90.00
Space group Pm-3m (No. 221)
Unique sites:
Rb 0.0000 0.0000 0.0000 [1 per cell]
Hg 0.0000 0.5000 0.5000 [3 per cell]
Au 0.5000 0.5000 0.5000 [1 per cell]

***

No. 3
Below is an optimized crystal structure of ScAg8, with properties calculated at the PBEsol level.

Properties
DFT formation energy in meV per atom: -69

abc: 8.6578 8.6578 4.0840
angles: 90.00 90.00 90.00
Space group I4/mmm (No. 139)
Unique sites:
Sc 0.0000 0.0000 0.0000 [2 per cell]
Ag 0.0000 0.3343 0.0000 [8 per cell]
Ag 0.1674 0.1674 0.5000 [8 per cell]

***

No. 4
Below is an optimized crystal structure of Sm2Ge2O7, with properties calculated at the PBEsol level.

Properties
ΔE_f (raw) in kcal/mol of atoms: -59.4

abc: 7.1386 9.3041 4.9703
angles: 90.00 101.72 90.00
Space group C2/m (No. 12)
Unique sites:
Sm 0.0000 0.1965 0.0000 [4 per cell]
Ge 0.2273 0.5000 0.4118 [4 per cell]
O 0.0000 0.5000 0.5000 [2 per cell]
O 0.1052 0.0000 0.2773 [4 per cell]
O 0.2411 0.3443 0.2167 [8 per cell]

***

No. 5
Below is an optimized crystal structure of LiCuP2, with properties calculated at the PBEsol level.

Properties
DFT formation energy in meV per atom: -31

abc: 2.8371 2.8371 22.7316
angles: 90.00 90.00 120.00
Space group R-3m (No. 166, hexagonal axes)
Unique sites:
Li 0.0000 0.0000 0.0000 [3 per cell]
Cu 0.0000 0.0000 0.5000 [3 per cell]
P 0.0000 0.0000 0.2463 [6 per cell]

***

No. 6
Below is an optimized crystal structure of Gd3ReB7, with properties calculated at the PBEsol level.

Properties
DFT formation energy in meV per atom: -628

abc: 3.5138 15.8402 9.3403
angles: 90.00 90.00 90.00
Space group Cmcm (No. 63)
Unique sites:
Gd 0.0000 0.1051 0.0613 [8 per cell]
Gd 0.0000 0.2430 0.7500 [4 per cell]
Re 0.0000 0.0540 0.7500 [4 per cell]
B 0.0000 0.2733 0.0316 [8 per cell]
B 0.0000 0.3675 0.1505 [8 per cell]
B 0.0000 0.4591 0.7500 [4 per cell]
B 0.0000 0.4785 0.0953 [8 per cell]

***

No. 7
Below is an optimized crystal structure of AlFeO3, with properties calculated at the PBEsol level.

Properties
ΔE_f (raw) in kcal/mol of atoms: -46.0

abc: 3.0528 3.0528 11.4884
angles: 90.00 90.00 120.00
Space group P6_3/mmc (No. 194)
Unique sites:
Al 0.0000 0.0000 0.0000 [2 per cell]
Fe 0.3333 0.6667 0.2500 [2 per cell]
O 0.0000 0.0000 0.2500 [2 per cell]
O 0.3333 0.6667 0.0792 [4 per cell]

***

No. 8
Below is an optimized crystal structure of Ta2ZnCu, with properties calculated at the PBEsol level.

Properties
DFT formation energy in meV per atom: 63

abc: 3.9636 3.9636 3.8237
angles: 90.00 90.00 90.00
Space group P4/mmm (No. 123)
Unique sites:
Ta 0.0000 0.5000 0.0000 [2 per cell]
Zn 0.0000 0.0000 0.5000 [1 per cell]
Cu 0.5000 0.5000 0.5000 [1 per cell]

***

No. 9
Below is an optimized crystal structure of ZnAs2Pb, with properties calculated at the PBEsol level.

Properties
DFT formation energy in meV per atom: 306

abc: 4.5525 4.5525 4.0662
angles: 90.00 90.00 90.00
Space group P4/mmm (No. 123)
Unique sites:
Zn 0.0000 0.0000 0.0000 [1 per cell]
As 0.0000 0.5000 0.5000 [2 per cell]
Pb 0.5000 0.5000 0.0000 [1 per cell]

***

No. 10
Below is an optimized crystal structure of SrB6, with properties calculated at the PBEsol level.

Properties
DFT formation energy in meV per atom: -462

abc: 4.1759 4.1759 4.1759
angles: 90.00 90.00 90.00
Space group Pm-3m (No. 221)
Unique sites:
Sr 0.0000 0.0000 0.0000 [1 per cell]
B 0.2027 0.5000 0.5000 [6 per cell]

***

No. 11
Below is an optimized crystal structure of Sr2AlAs, with properties calculated at the PBEsol level.

Properties
DFT formation energy in meV per atom: -179

abc: 4.4660 4.4660 6.3899
angles: 90.00 90.00 90.00
Space group P4mm (No. 99)
Unique sites:
Sr 0.0000 0.0000 0.0000 [1 per cell]
Sr 0.5000 0.5000 0.4133 [1 per cell]
Al 0.0000 0.0000 0.5221 [1 per cell]
As 0.5000 0.5000 0.8977 [1 per cell]

***

No. 12
Below is an optimized crystal structure of Li2CuNi, with properties calculated at the PBEsol level.

Properties
DFT formation energy in meV per atom: 32

abc: 2.4716 4.1832 4.4493
angles: 90.00 94.73 90.00
Space group P2/m (No. 10)
Unique sites:
Li 0.2469 0.0000 0.2562 [2 per cell]
Cu 0.5000 0.5000 0.0000 [1 per cell]
Ni 0.0000 0.5000 0.5000 [1 per cell]

***

No. 13
Below is an optimized crystal structure of Zn4Au5, with properties calculated at the PBEsol level.

Properties
DFT formation energy in meV per atom: -135

abc: 8.3067 8.3067 4.0859
angles: 90.00 90.00 90.00
Space group I4/mmm (No. 139)
Unique sites:
Zn 0.0000 0.3360 0.0000 [8 per cell]
Au 0.0000 0.0000 0.0000 [2 per cell]
Au 0.1709 0.1709 0.5000 [8 per cell]

***

Table of volume (Å³/cell), in record order: 310.4 154.7 306.1 323.2 158.5 519.9 92.7 60.1 84.3 72.8 127.4 45.8 281.9
Table of total moment (μB/cell), in record order: 0.0 0.0 0.0 0.0 0.0 84.6 4.4 0.0 0.0 0.0 0.0 0.0 0.0
Table of energy (eV per atom), in record order: -5.1798 -1.4646 -3.7466 -7.7412 -4.5024 -10.2456 -7.7544 -7.6917 -3.6423 -6.7393 -3.3985 -3.5739 -3.0181